Here is crystalline Tm3Si4Tc4 at its relaxed geometry from the Alexandria database. Energies are from PBE-GGA.

The structure belongs to space group Immm (No. 71); the cell edges are 3.5756, 7.6655 and 13.7865 Å and the angles 90.00°, 90.00° and 90.00°. The inequivalent atoms are Tm at (0.0000, 0.0000, 0.0000), Tm at (0.0000, 0.5000, 0.1214), Si at (0.0000, 0.0000, 0.2207), Si at (0.0000, 0.2025, 0.5000) and Tc at (0.0000, 0.2987, 0.3273).

The density of states at the Fermi level comes out at 13.48 states/eV/cell. The energy comes out at -0.277 Ha/atom. The value obtained for the spin magnetization is 0.0 μB/f.u. The calculation puts the calculated density at 8.89 Mg/m³. For the energy relative to the elements, uncorrected, the calculation gives -0.59 eV/atom.